Li2HPb | the Alexandria database | meta-GGA SCAN | single point on PBEsol structure; total magnetization = 0.000 μB per cell; density of states at the Fermi level = 0.1084 states/eV per atom; mass density = 5.8 g cm⁻³; SG = I-42d; energy relative to the lowest polymorph listed for this composition = 0.00 eV per formula unit
1.0
-2.825 2.825 3.988
2.825 -2.825 3.988
2.825 2.825 -3.988
Li H Pb
4 2 2
Direct
0.375 0.116 0.242
0.866 0.625 0.742
0.875 0.134 0.758
0.884 0.125 0.258
0.000 0.000 0.000
0.750 0.250 0.500
0.250 0.750 0.500
0.500 0.500 0.000